Entry 1:
{
  "formula": "KAlAgGe",
  "functional": "GGA-PBE",
  "state": "optimized geometry",
  "formation_enthalpy_0k_ev_per_atom": -0.08,
  "rho_g_cm3": 3.86,
  "magnetic_moment_mub_per_cell": 0.00,
  "dft_energy_ev_per_atom": -3.161,
  "cell": [[4.0137, 0.0000, 0.0000], [0.0000, 4.0137, 0.0000], [0.0000, 0.0000, 13.1718]],
  "species": ["K", "K", "Al", "Al", "Ag", "Ag", "Ge", "Ge"],
  "frac_coords": [[0.2500, 0.2500, 0.2309], [0.7500, 0.7500, 0.7691], [0.2500, 0.7500, 0.5000], [0.7500, 0.2500, 0.5000], [0.2500, 0.7500, 0.0000], [0.7500, 0.2500, 0.0000], [0.2500, 0.2500, 0.6274], [0.7500, 0.7500, 0.3726]]
}



Entry 2:
{
  "formula": "NdNi3Ge3",
  "functional": "GGA-PBE",
  "state": "optimized geometry",
  "formation_enthalpy_0k_ev_per_atom": -0.31,
  "rho_g_cm3": 7.26,
  "e_above_lowest_polymorph_ev_per_atom": 0.000,
  "magnetic_moment_mub_per_cell": 0.00,
  "dft_energy_ev_per_atom": -5.448,
  "cell": [[3.1530, 1.8204, 7.1515], [-3.1530, 1.8204, 7.1515], [0.0000, -3.6408, 7.1515]],
  "species": ["Nd", "Nd", "Ni", "Ni", "Ni", "Ni", "Ni", "Ni", "Ge", "Ge", "Ge", "Ge", "Ge", "Ge"],
  "frac_coords": [[0.1726, 0.1726, 0.1726], [0.8274, 0.8274, 0.8274], [0.0568, 0.5658, 0.2694], [0.2694, 0.0568, 0.5658], [0.4342, 0.7306, 0.9432], [0.5658, 0.2694, 0.0568], [0.7306, 0.9432, 0.4342], [0.9432, 0.4342, 0.7306], [0.1688, 0.6945, 0.3640], [0.3055, 0.6360, 0.8312], [0.3640, 0.1688, 0.6945], [0.6360, 0.8312, 0.3055], [0.6945, 0.3640, 0.1688], [0.8312, 0.3055, 0.6360]]
}



Entry 3:
{
  "formula": "AcPa2N5",
  "functional": "GGA-PBE",
  "state": "optimized geometry",
  "rho_g_cm3": 10.43,
  "magnetic_moment_mub_per_cell": 0.00,
  "dft_energy_ev_per_atom": -9.198,
  "cell": [[-1.8128, 2.9145, 5.7203], [1.8128, -2.9145, 5.7203], [1.8128, 2.9145, -5.7203]],
  "species": ["Ac", "Pa", "Pa", "N", "N", "N", "N", "N"],
  "frac_coords": [[0.0000, 0.0000, 0.0000], [0.3117, 0.8117, 0.5000], [0.6883, 0.1883, 0.5000], [0.0822, 0.3436, 0.7386], [0.3950, 0.6564, 0.7386], [0.5000, 0.0000, 0.5000], [0.6050, 0.3436, 0.2614], [0.9178, 0.6564, 0.2614]]
}